Run a
Below is Mg5Pb4 after structural relaxation, with properties calculated at the GGA-PBEsol level.

The crystal system is tetragonal. For the calculated volume, the calculation gives 454.1 Å³/cell.

The space group is I4/mmm (No. 139) and the conventional cell measures 9.793, 9.793 and 4.735 Å, with angles of 90.00, 90.00 and 90.00 degrees. Symmetry generates all atoms from Mg at (0.000, 0.000, 0.000), Mg at (0.164, 0.164, 0.500) and Pb at (0.000, 0.314, 0.000).

***

Run b
Below is Mg5Pb4 after structural relaxation, with properties calculated at the GGA-PBEsol level.

The crystal system is hexagonal. For the calculated volume, the calculation gives 449.2 Å³/cell.

The space group is P6_3/mcm (No. 193) and the conventional cell measures 9.1117, 9.1117 and 6.2472 Å, with angles of 90.00, 90.00 and 120.00 degrees. Symmetry generates all atoms from Mg at (0.0000, 0.3024, 0.2500), Mg at (0.3333, 0.6667, 0.0000), Pb at (0.0000, 0.0000, 0.0000) and Pb at (0.0000, 0.3708, 0.7500).

***

List of relative energies, unit meV/atom: run a 0; run b 10

***

Run a
Below is Mg5Pb after structural relaxation, with properties calculated at the GGA-PBEsol level.

The crystal system is orthorhombic. For the calculated volume, the calculation gives 277.1 Å³/cell.

The space group is Cmmm (No. 65) and the conventional cell measures 4.486, 13.605 and 4.539 Å, with angles of 90.00, 90.00 and 90.00 degrees. Symmetry generates all atoms from Mg at (0.000, 0.000, 0.000), Mg at (0.000, 0.167, 0.500), Mg at (0.000, 0.331, 0.000) and Pb at (0.000, 0.500, 0.500).

***

Run b
Below is Mg5Pb after structural relaxation, with properties calculated at the GGA-PBEsol level.

The crystal system is cubic. For the calculated volume, the calculation gives 577.0 Å³/cell.

The space group is F-43m (No. 216) and the conventional cell measures 8.325, 8.325 and 8.325 Å, with angles of 90.00, 90.00 and 90.00 degrees. Symmetry generates all atoms from Mg at (0.000, 0.000, 0.000), Mg at (0.125, 0.125, 0.375) and Pb at (0.250, 0.250, 0.750).

***

List of relative energies, unit meV/atom: run a 0; run b 90

***

Run a
Below is Mg5Pb after structural relaxation, with properties calculated at the GGA-PBEsol level.

The crystal system is tetragonal. For the calculated volume, the calculation gives 142.2 Å³/cell.

The space group is P4/mmm (No. 123) and the conventional cell measures 3.281, 3.281 and 13.205 Å, with angles of 90.00, 90.00 and 90.00 degrees. Symmetry generates all atoms from Mg at (0.000, 0.000, 0.000), Mg at (0.000, 0.000, 0.327), Mg at (0.500, 0.500, 0.163) and Pb at (0.500, 0.500, 0.500).

***

Run b
Below is Mg5Pb after structural relaxation, with properties calculated at the GGA-PBEsol level.

The crystal system is monoclinic. For the calculated volume, the calculation gives 282.0 Å³/cell.

The space group is Cm (No. 8) and the conventional cell measures 11.714, 3.305 and 7.594 Å, with angles of 90.00, 106.43 and 90.00 degrees. Symmetry generates all atoms from Mg at (0.000, 0.000, 0.000), Mg at (0.051, 0.000, 0.601), Mg at (0.165, 0.500, 0.327), Mg at (0.216, 0.500, 0.941), Mg at (0.387, 0.000, 0.265) and Pb at (0.331, 0.000, 0.661).

***

List of relative energies, unit meV/atom: run a 14; run b 0

***

Run a
Below is Mg5Pb after structural relaxation, with properties calculated at the GGA-PBEsol level.

The crystal system is trigonal. For the calculated volume, the calculation gives 420.0 Å³/cell.

The space group is R32 (No. 155, hexagonal axes) and the conventional cell measures 5.5398, 5.5398 and 15.8038 Å, with angles of 90.00, 90.00 and 120.00 degrees. Symmetry generates all atoms from Mg at (0.0000, 0.0000, 0.1680), Mg at (0.0000, 0.6697, 0.0000) and Pb at (0.0000, 0.0000, 0.5000).

***

Run b
Below is Mg5Pb after structural relaxation, with properties calculated at the GGA-PBEsol level.

The crystal system is hexagonal. For the calculated volume, the calculation gives 140.4 Å³/cell.

The space group is P-62m (No. 189) and the conventional cell measures 5.5555, 5.5555 and 5.2539 Å, with angles of 90.00, 90.00 and 120.00 degrees. Symmetry generates all atoms from Mg at (0.0000, 0.6584, 0.0000), Mg at (0.3333, 0.6667, 0.5000) and Pb at (0.0000, 0.0000, 0.5000).

***

List of relative energies, unit meV/atom: run a 7; run b 0

***

Run a
Below is Mg4Pb after structural relaxation, with properties calculated at the GGA-PBEsol level.

The crystal system is tetragonal. For the calculated volume, the calculation gives 233.4 Å³/cell.

The space group is I4/m (No. 87) and the conventional cell measures 7.210, 7.210 and 4.491 Å, with angles of 90.00, 90.00 and 90.00 degrees. Symmetry generates all atoms from Mg at (0.099, 0.696, 0.000) and Pb at (0.000, 0.000, 0.500).

***

Run b
Below is Mg4Pb after structural relaxation, with properties calculated at the GGA-PBEsol level.

The crystal system is cubic. For the calculated volume, the calculation gives 304.3 Å³/cell.

The space group is Im-3m (No. 229) and the conventional cell measures 6.726, 6.726 and 6.726 Å, with angles of 90.00, 90.00 and 90.00 degrees. Symmetry generates all atoms from Mg at (0.250, 0.250, 0.250) and Pb at (0.000, 0.000, 0.000).

***

List of relative energies, unit meV/atom: run a 0; run b 374

***

Run a
Below is MgRe2Pb after structural relaxation, with properties calculated at the GGA-PBEsol level.

The crystal system is orthorhombic. For the calculated volume, the calculation gives 74.2 Å³/cell.

The space group is Pmmm (No. 47) and the conventional cell measures 2.851, 4.326 and 6.014 Å, with angles of 90.00, 90.00 and 90.00 degrees. Symmetry generates all atoms from Mg at (0.000, 0.000, 0.000), Re at (0.500, 0.500, 0.193) and Pb at (0.000, 0.000, 0.500).

***

Run b
Below is MgRe2Pb after structural relaxation, with properties calculated at the GGA-PBEsol level.

The crystal system is orthorhombic. For the calculated volume, the calculation gives 142.2 Å³/cell.

The space group is Imm2 (No. 44) and the conventional cell measures 4.028, 4.508 and 7.829 Å, with angles of 90.00, 90.00 and 90.00 degrees. Symmetry generates all atoms from Mg at (0.000, 0.000, 0.000), Re at (0.000, 0.000, 0.536), Re at (0.000, 0.500, 0.222) and Pb at (0.000, 0.500, 0.771).

***

List of relative energies, unit meV/atom: run a 147; run b 0